(1)
Sc4ZnCuN2, optimized geometry, DFT PBE; energy = -54.711 eV/f.u.; volume = 123.1 Å³/f.u.
1.0
3.195 0.000 0.000
-1.597 2.767 0.000
0.000 0.000 13.927
Sc Zn Cu N
4 1 1 2
direct
0.000 0.000 0.152
0.000 0.000 0.848
0.667 0.333 0.332
0.667 0.333 0.668
0.000 0.000 0.500
0.667 0.333 0.000
0.333 0.667 0.245
0.333 0.667 0.755



(2)
Dy2Sc2CBr3F2, optimized geometry, DFT PBE; energy = -59.059 eV/f.u.; volume = 205.9 Å³/f.u.
1.0
7.284 -1.797 0.000
7.284 1.797 0.000
-1.831 0.000 7.866
Dy Sc C Br F
2 2 1 3 2
direct
0.008 0.008 0.300
0.992 0.992 0.700
0.344 0.344 0.433
0.656 0.656 0.567
0.500 0.500 0.500
0.193 0.193 0.820
0.500 0.500 0.000
0.807 0.807 0.180
0.180 0.180 0.412
0.820 0.820 0.588



(3)
HfSi2, optimized geometry, DFT PBE; energy = -15.614 eV/f.u.; volume = 217.2 Å³/f.u.
1.0
0.000 6.011 6.011
6.011 0.000 6.011
6.011 6.011 0.000
Hf Si
2 4
direct
0.125 0.125 0.125
0.875 0.875 0.875
0.000 0.000 0.000
0.000 0.000 0.500
0.000 0.500 0.000
0.500 0.000 0.000



(4)
TaGa, optimized geometry, DFT PBE; energy = -14.416 eV/f.u.; volume = 36.0 Å³/f.u.
1.0
5.241 0.000 0.000
0.000 5.241 0.000
0.000 0.000 5.241
Ta Ga
4 4
direct
0.000 0.000 0.000
0.000 0.500 0.500
0.500 0.000 0.500
0.500 0.500 0.000
0.000 0.000 0.500
0.000 0.500 0.000
0.500 0.000 0.000
0.500 0.500 0.500



(5)
TbCo2Cl8, optimized geometry, DFT PBE; energy = -44.395 eV/f.u.; volume = 233.8 Å³/f.u.
1.0
-2.924 2.924 6.839
2.924 -2.924 6.839
2.924 2.924 -6.839
Tb Co Cl
1 2 8
direct
0.000 0.000 0.000
0.308 0.308 0.000
0.692 0.692 0.000
0.025 0.010 0.396
0.207 0.617 0.973
0.371 0.975 0.985
0.383 0.356 0.590
0.614 0.629 0.604
0.644 0.234 0.027
0.766 0.793 0.410
0.990 0.386 0.015



(6)
PrZnAg, optimized geometry, DFT PBE; formation energy from the elements = 163 meV/atom; volume = 85.3 Å³/f.u.
1.0
6.989 0.000 0.000
0.000 6.989 0.000
0.000 0.000 6.989
Pr Zn Ag
4 4 4
direct
0.000 0.000 0.000
0.000 0.500 0.500
0.500 0.000 0.500
0.500 0.500 0.000
0.250 0.250 0.750
0.250 0.750 0.250
0.750 0.250 0.250
0.750 0.750 0.750
0.250 0.250 0.250
0.250 0.750 0.750
0.750 0.250 0.750
0.750 0.750 0.250



(7)
PmCoCu, optimized geometry, DFT PBE; formation energy from the elements = 763 meV/atom; volume = 64.6 Å³/f.u.
1.0
6.370 0.000 0.000
0.000 6.370 0.000
0.000 0.000 6.370
Pm Co Cu
4 4 4
direct
0.000 0.000 0.000
0.000 0.500 0.500
0.500 0.000 0.500
0.500 0.500 0.000
0.250 0.250 0.750
0.250 0.750 0.250
0.750 0.250 0.250
0.750 0.750 0.750
0.250 0.250 0.250
0.250 0.750 0.750
0.750 0.250 0.750
0.750 0.750 0.250



(8)
ZnCoNiHg, optimized geometry, DFT PBE; formation energy from the elements = 273 meV/atom; volume = 56.5 Å³/f.u.
1.0
6.093 0.000 0.000
0.000 6.093 0.000
0.000 0.000 6.093
Zn Co Ni Hg
4 4 4 4
direct
0.000 0.000 0.000
0.000 0.500 0.500
0.500 0.000 0.500
0.500 0.500 0.000
0.250 0.250 0.250
0.250 0.750 0.750
0.750 0.250 0.750
0.750 0.750 0.250
0.000 0.000 0.500
0.000 0.500 0.000
0.500 0.000 0.000
0.500 0.500 0.500
0.250 0.250 0.750
0.250 0.750 0.250
0.750 0.250 0.250
0.750 0.750 0.750